# 1
The following is a PBE calculation of crystalline NdTh2Ga at its relaxed geometry, from Alexandria.

Lattice parameters (Å, degrees): 3.925 3.925 7.674 90.00 90.00 90.00
Atoms (fractional coordinates):
Nd: 0.000 0.000 0.000
Th: 0.500 0.500 0.298
Th: 0.500 0.500 0.702
Ga: 0.000 0.000 0.500

Results
ΔE to the lowest computed polymorph   0.052 eV per atom
Formation enthalpy at 0 K   -0.114 eV per atom
Space group   P4/mmm



# 2
The following is a PBE calculation of crystalline NdTh2Ga at its relaxed geometry, from Alexandria.

Lattice parameters (Å, degrees): 4.823 4.823 4.908 90.00 90.00 90.00
Atoms (fractional coordinates):
Nd: 0.000 0.000 0.000
Th: 0.000 0.500 0.500
Th: 0.500 0.000 0.500
Ga: 0.500 0.500 0.000

Results
ΔE to the lowest computed polymorph   0.000 eV per atom
Formation enthalpy at 0 K   -0.166 eV per atom
Space group   P4/mmm



# 3
The following is a PBE calculation of crystalline NdThGa6 at its relaxed geometry, from Alexandria.

Lattice parameters (Å, degrees): 6.450 6.450 4.631 90.00 90.00 120.00
Atoms (fractional coordinates):
Nd: 0.000 0.000 0.000
Th: 0.667 0.333 0.500
Ga: 0.049 0.525 0.000
Ga: 0.190 0.380 0.500
Ga: 0.190 0.810 0.500
Ga: 0.475 0.525 0.000
Ga: 0.475 0.951 0.000
Ga: 0.620 0.810 0.500

Results
Formation enthalpy at 0 K   -0.554 eV per atom
Space group   P-6m2



# 4
The following is a PBE calculation of crystalline NdTh2Ga2 at its relaxed geometry, from Alexandria.

Lattice parameters (Å, degrees): 7.918 7.918 4.385 90.00 90.00 90.00
Atoms (fractional coordinates):
Nd: 0.000 0.000 0.000
Nd: 0.500 0.500 0.000
Th: 0.174 0.326 0.500
Th: 0.326 0.826 0.500
Th: 0.674 0.174 0.500
Th: 0.826 0.674 0.500
Ga: 0.118 0.618 0.000
Ga: 0.382 0.118 0.000
Ga: 0.618 0.882 0.000
Ga: 0.882 0.382 0.000

Results
Formation enthalpy at 0 K   -0.406 eV per atom
Space group   P4/mbm



# 5
The following is a PBE calculation of crystalline NdThTlGa at its relaxed geometry, from Alexandria.

Lattice parameters (Å, degrees): 7.629 7.629 7.629 90.00 90.00 90.00
Atoms (fractional coordinates):
Nd: 0.000 0.000 0.000
Nd: 0.000 0.500 0.500
Nd: 0.500 0.000 0.500
Nd: 0.500 0.500 0.000
Th: 0.000 0.000 0.500
Th: 0.000 0.500 0.000
Th: 0.500 0.000 0.000
Th: 0.500 0.500 0.500
Tl: 0.250 0.250 0.750
Tl: 0.250 0.750 0.250
Tl: 0.750 0.250 0.250
Tl: 0.750 0.750 0.750
Ga: 0.250 0.250 0.250
Ga: 0.250 0.750 0.750
Ga: 0.750 0.250 0.750
Ga: 0.750 0.750 0.250

Results
Formation enthalpy at 0 K   -0.294 eV per atom
Space group   F-43m



# 6
The following is a PBE calculation of crystalline NdThZnGa at its relaxed geometry, from Alexandria.

Lattice parameters (Å, degrees): 7.374 7.374 7.374 90.00 90.00 90.00
Atoms (fractional coordinates):
Nd: 0.000 0.000 0.000
Nd: 0.000 0.500 0.500
Nd: 0.500 0.000 0.500
Nd: 0.500 0.500 0.000
Th: 0.000 0.000 0.500
Th: 0.000 0.500 0.000
Th: 0.500 0.000 0.000
Th: 0.500 0.500 0.500
Zn: 0.250 0.250 0.250
Zn: 0.250 0.750 0.750
Zn: 0.750 0.250 0.750
Zn: 0.750 0.750 0.250
Ga: 0.250 0.250 0.750
Ga: 0.250 0.750 0.250
Ga: 0.750 0.250 0.250
Ga: 0.750 0.750 0.750

Results
Formation enthalpy at 0 K   -0.358 eV per atom
Space group   F-43m



# 7
The following is a PBE calculation of crystalline Nd2ThZn2Ga2 at its relaxed geometry, from Alexandria.

Lattice parameters (Å, degrees): 10.328 10.328 10.328 24.77 24.77 24.77
Atoms (fractional coordinates):
Nd: 0.127 0.127 0.127
Nd: 0.873 0.873 0.873
Th: 0.000 0.000 0.000
Zn: 0.397 0.397 0.397
Zn: 0.603 0.603 0.603
Ga: 0.265 0.265 0.265
Ga: 0.735 0.735 0.735

Results
Formation enthalpy at 0 K   -0.357 eV per atom
Space group   R-3m



# 8
The following is a PBE calculation of crystalline NdTiGa2 at its relaxed geometry, from Alexandria.

Lattice parameters (Å, degrees): 3.491 3.491 6.684 90.00 90.00 90.00
Atoms (fractional coordinates):
Nd: 0.000 0.000 0.000
Ti: 0.000 0.000 0.500
Ga: 0.500 0.500 0.301
Ga: 0.500 0.500 0.699

Results
ΔE to the lowest computed polymorph   0.000 eV per atom
Formation enthalpy at 0 K   -0.413 eV per atom
Space group   P4/mmm



# 9
The following is a PBE calculation of crystalline NdTiGa2 at its relaxed geometry, from Alexandria.

Lattice parameters (Å, degrees): 3.545 3.545 24.377 90.00 90.00 120.00
Atoms (fractional coordinates):
Nd: 0.000 0.000 0.000
Nd: 0.333 0.667 0.667
Nd: 0.667 0.333 0.333
Ti: 0.000 0.000 0.500
Ti: 0.333 0.667 0.167
Ti: 0.667 0.333 0.833
Ga: 0.000 0.000 0.238
Ga: 0.000 0.000 0.762
Ga: 0.333 0.667 0.428
Ga: 0.333 0.667 0.905
Ga: 0.667 0.333 0.095
Ga: 0.667 0.333 0.572

Results
ΔE to the lowest computed polymorph   0.230 eV per atom
Formation enthalpy at 0 K   -0.183 eV per atom
Space group   R-3m



# 10
The following is a PBE calculation of crystalline NdTiZnGa at its relaxed geometry, from Alexandria.

Lattice parameters (Å, degrees): 6.875 6.875 6.875 90.00 90.00 90.00
Atoms (fractional coordinates):
Nd: 0.000 0.000 0.000
Nd: 0.000 0.500 0.500
Nd: 0.500 0.000 0.500
Nd: 0.500 0.500 0.000
Ti: 0.000 0.000 0.500
Ti: 0.000 0.500 0.000
Ti: 0.500 0.000 0.000
Ti: 0.500 0.500 0.500
Zn: 0.250 0.250 0.250
Zn: 0.250 0.750 0.750
Zn: 0.750 0.250 0.750
Zn: 0.750 0.750 0.250
Ga: 0.250 0.250 0.750
Ga: 0.250 0.750 0.250
Ga: 0.750 0.250 0.250
Ga: 0.750 0.750 0.750

Results
Formation enthalpy at 0 K   -0.231 eV per atom
Space group   F-43m



# 11
The following is a PBE calculation of crystalline Nd12Tl6Ga at its relaxed geometry, from Alexandria.

Lattice parameters (Å, degrees): 8.482 8.482 8.482 92.78 92.78 92.78
Atoms (fractional coordinates):
Nd: 0.051 0.948 0.695
Nd: 0.052 0.305 0.949
Nd: 0.160 0.395 0.500
Nd: 0.305 0.949 0.052
Nd: 0.395 0.500 0.160
Nd: 0.500 0.160 0.395
Nd: 0.500 0.840 0.605
Nd: 0.605 0.500 0.840
Nd: 0.695 0.051 0.948
Nd: 0.840 0.605 0.500
Nd: 0.948 0.695 0.051
Nd: 0.949 0.052 0.305
Tl: 0.190 0.766 0.366
Tl: 0.234 0.634 0.810
Tl: 0.366 0.190 0.766
Tl: 0.634 0.810 0.234
Tl: 0.766 0.366 0.190
Tl: 0.810 0.234 0.634
Ga: 0.500 0.500 0.500

Results
Formation enthalpy at 0 K   -0.206 eV per atom
Space group   R-3



# 12
The following is a PBE calculation of crystalline Nd6Tl3Ga at its relaxed geometry, from Alexandria.

Lattice parameters (Å, degrees): 11.886 3.787 14.581 90.00 106.41 90.00
Atoms (fractional coordinates):
Nd: 0.005 0.250 0.176
Nd: 0.105 0.750 0.415
Nd: 0.250 0.250 0.832
Nd: 0.327 0.250 0.260
Nd: 0.366 0.250 0.638
Nd: 0.383 0.750 0.043
Nd: 0.617 0.250 0.957
Nd: 0.634 0.750 0.362
Nd: 0.673 0.750 0.740
Nd: 0.750 0.750 0.168
Nd: 0.895 0.250 0.585
Nd: 0.995 0.750 0.824
Tl: 0.125 0.750 0.642
Tl: 0.143 0.250 0.018
Tl: 0.391 0.750 0.454
Tl: 0.609 0.250 0.546
Tl: 0.857 0.750 0.982
Tl: 0.875 0.250 0.358
Ga: 0.458 0.750 0.818
Ga: 0.542 0.250 0.182

Results
Formation enthalpy at 0 K   -0.250 eV per atom
Space group   P2_1/m



Please write out number 12 again, unchanged.
The following is a PBE calculation of crystalline Nd6Tl3Ga at its relaxed geometry, from Alexandria.

Lattice parameters (Å, degrees): 11.886 3.787 14.581 90.00 106.41 90.00
Atoms (fractional coordinates):
Nd: 0.005 0.250 0.176
Nd: 0.105 0.750 0.415
Nd: 0.250 0.250 0.832
Nd: 0.327 0.250 0.260
Nd: 0.366 0.250 0.638
Nd: 0.383 0.750 0.043
Nd: 0.617 0.250 0.957
Nd: 0.634 0.750 0.362
Nd: 0.673 0.750 0.740
Nd: 0.750 0.750 0.168
Nd: 0.895 0.250 0.585
Nd: 0.995 0.750 0.824
Tl: 0.125 0.750 0.642
Tl: 0.143 0.250 0.018
Tl: 0.391 0.750 0.454
Tl: 0.609 0.250 0.546
Tl: 0.857 0.750 0.982
Tl: 0.875 0.250 0.358
Ga: 0.458 0.750 0.818
Ga: 0.542 0.250 0.182

Results
Formation enthalpy at 0 K   -0.250 eV per atom
Space group   P2_1/m



- What is the formation enthalpy at 0 K in the fifth record?
  -0.294 eV per atom



- Which value of formation enthalpy at 0 K does entry 11 give?
  -0.206 eV per atom